{
  "formula": "ScCo2HAu",
  "functional": "GGA-PBE",
  "state": "relaxed",
  "lattice_angstrom": [[3.849, 0.000, 0.000], [0.000, 3.849, 0.000], [0.000, 0.000, 3.986]],
  "species": ["Sc", "Co", "Co", "H", "Au"],
  "fractional_positions": [[0.000, 0.000, 0.000], [0.000, 0.500, 0.500], [0.500, 0.000, 0.500], [0.000, 0.000, 0.500], [0.500, 0.500, 0.000]],
  "e_tot_ev_per_cell": -28.370,
  "vol_a3_per_cell": 59,
  "density_kg_m3": 10146,
  "sg": "No. 123"
}


{
  "formula": "ErCr2B6",
  "functional": "GGA-PBE",
  "state": "relaxed",
  "lattice_angstrom": [[5.282, 0.000, 0.000], [-2.641, 4.574, 0.000], [0.000, 0.000, 3.358]],
  "species": ["Er", "Cr", "Cr", "B", "B", "B", "B", "B", "B"],
  "fractional_positions": [[0.000, 0.000, 0.000], [0.333, 0.667, 0.000], [0.667, 0.333, 0.000], [0.000, 0.342, 0.500], [0.000, 0.658, 0.500], [0.342, 0.000, 0.500], [0.342, 0.342, 0.500], [0.658, 0.000, 0.500], [0.658, 0.658, 0.500]],
  "vol_a3_per_cell": 81,
  "delta_e_f_kj_per_mol_atoms": -37.2,
  "density_kg_m3": 6878,
  "sg": "No. 191"
}


{
  "formula": "RbBe2NbPb",
  "functional": "GGA-PBE",
  "state": "relaxed",
  "lattice_angstrom": [[4.998, 0.000, 0.000], [0.000, 4.998, 0.000], [0.000, 0.000, 5.482]],
  "species": ["Rb", "Be", "Be", "Nb", "Pb"],
  "fractional_positions": [[0.000, 0.000, 0.000], [0.000, 0.500, 0.500], [0.500, 0.000, 0.500], [0.500, 0.500, 0.500], [0.500, 0.500, 0.000]],
  "vol_a3_per_cell": 137,
  "delta_e_f_kj_per_mol_atoms": 92.0,
  "density_kg_m3": 4894,
  "sg": "No. 123"
}


{
  "formula": "TmNiB4",
  "functional": "GGA-PBE",
  "state": "relaxed",
  "lattice_angstrom": [[5.869, 0.000, 0.000], [0.000, 11.387, 0.000], [0.000, 0.000, 3.384]],
  "species": ["Tm", "Tm", "Tm", "Tm", "Ni", "Ni", "Ni", "Ni", "B", "B", "B", "B", "B", "B", "B", "B", "B", "B", "B", "B", "B", "B", "B", "B"],
  "fractional_positions": [[0.127, 0.150, 0.000], [0.373, 0.650, 0.000], [0.627, 0.350, 0.000], [0.873, 0.850, 0.000], [0.134, 0.412, 0.000], [0.366, 0.912, 0.000], [0.634, 0.088, 0.000], [0.866, 0.588, 0.000], [0.021, 0.692, 0.500], [0.113, 0.547, 0.500], [0.137, 0.967, 0.500], [0.215, 0.815, 0.500], [0.285, 0.315, 0.500], [0.363, 0.467, 0.500], [0.387, 0.047, 0.500], [0.479, 0.192, 0.500], [0.521, 0.808, 0.500], [0.613, 0.953, 0.500], [0.637, 0.533, 0.500], [0.715, 0.685, 0.500], [0.785, 0.185, 0.500], [0.863, 0.033, 0.500], [0.887, 0.453, 0.500], [0.979, 0.308, 0.500]],
  "vol_a3_per_cell": 226,
  "delta_e_f_kj_per_mol_atoms": -54.6,
  "e_above_lowest_polymorph_ev_per_fu": 0.000,
  "density_kg_m3": 7955,
  "sg": "No. 55"
}


{
  "formula": "CsMgSe2Br",
  "functional": "GGA-PBE",
  "state": "relaxed",
  "lattice_angstrom": [[5.714, 0.000, 0.000], [0.000, 5.714, 0.000], [0.000, 0.000, 6.447]],
  "species": ["Cs", "Mg", "Se", "Se", "Br"],
  "fractional_positions": [[0.000, 0.000, 0.000], [0.500, 0.500, 0.500], [0.000, 0.500, 0.000], [0.500, 0.000, 0.000], [0.000, 0.000, 0.500]],
  "vol_a3_per_cell": 211,
  "e_above_lowest_polymorph_ev_per_fu": 6.434,
  "density_kg_m3": 3116,
  "sg": "No. 123"
}


{
  "formula": "Tb2PrDy5",
  "functional": "GGA-PBE",
  "state": "relaxed",
  "lattice_angstrom": [[7.143, 0.000, 0.000], [0.000, 14.291, 0.000], [0.000, 0.000, 5.033]],
  "species": ["Tb", "Tb", "Tb", "Tb", "Pr", "Pr", "Dy", "Dy", "Dy", "Dy", "Dy", "Dy", "Dy", "Dy", "Dy", "Dy"],
  "fractional_positions": [[0.249, 0.126, 0.000], [0.251, 0.626, 0.000], [0.749, 0.374, 0.000], [0.751, 0.874, 0.000], [0.000, 0.500, 0.500], [0.500, 0.000, 0.500], [0.000, 0.000, 0.500], [0.000, 0.249, 0.500], [0.000, 0.751, 0.500], [0.249, 0.874, 0.000], [0.251, 0.374, 0.000], [0.500, 0.251, 0.500], [0.500, 0.500, 0.500], [0.500, 0.749, 0.500], [0.749, 0.626, 0.000], [0.751, 0.126, 0.000]],
  "vol_a3_per_cell": 514,
  "delta_e_f_kj_per_mol_atoms": 1.6,
  "e_above_lowest_polymorph_ev_per_fu": 0.000,
  "density_kg_m3": 8218,
  "sg": "No. 55"
}